## PmMnAs2 (PBE)

Data for an optimized crystal structure of PmMnAs2.

Output
Energy relative to the elements = -0.43 eV per atom
Final energy = -6.238 eV per atom
E above lowest polymorph = 8.27 kcal/mol of atoms
Density = 6.9 g/cm³

Unit cell a=3.7242 b=4.7525 c=4.7525 alpha=90.00 beta=90.00 gamma=90.00
Each line ends with the local moment (μB).
Positions (direct):
As 0.0000 0.5000 0.0000  -0.05
Pm 0.5000 0.5000 0.5000  0.04
As 0.0000 0.0000 0.5000  -0.05
Mn 0.5000 0.0000 0.0000  4.00